No. 1
# V2CdRhO6 | the Alexandria database | PBE with a Hubbard U | relaxed
data_V2CdRhO6
_symmetry_space_group_name_H-M 'C 1 2/c 1'
_symmetry_Int_Tables_number 15
_symmetry_space_group_name_Hall '-C 2yc'
_cell_length_a 11.2085
_cell_length_b 9.5250
_cell_length_c 5.9690
_cell_angle_alpha 90.00
_cell_angle_beta 116.71
_cell_angle_gamma 90.00
loop_
_atom_site_label
_atom_site_type_symbol
_atom_site_fract_x
_atom_site_fract_y
_atom_site_fract_z
V1 V 0.1990 0.0872 0.1386
Cd1 Cd 0.0000 0.4051 0.2500
Rh1 Rh 0.0000 0.2320 0.7500
O1 O 0.1059 0.2405 0.1344
O2 O 0.1187 0.4049 0.7034
O3 O 0.1488 0.0523 0.7973
# - total DFT energy (no corrections) (eV per atom) = -6.632
# - total moment (μB per cell) = 12.07
# - ρ (g cm⁻³) = 4.8



No. 2
# CdRhWO6 | the Alexandria database | PBE with a Hubbard U | relaxed
data_CdRhWO6
_symmetry_space_group_name_H-M 'P 42 n m'
_symmetry_Int_Tables_number 102
_symmetry_space_group_name_Hall 'P 4n -2n'
_cell_length_a 4.8343
_cell_length_b 4.8343
_cell_length_c 9.5037
_cell_angle_alpha 90.00
_cell_angle_beta 90.00
_cell_angle_gamma 90.00
loop_
_atom_site_label
_atom_site_type_symbol
_atom_site_fract_x
_atom_site_fract_y
_atom_site_fract_z
Cd1 Cd 0.0000 0.0000 0.0000
Rh1 Rh 0.0000 0.0000 0.3302
W1 W 0.0000 0.0000 0.6687
O1 O 0.1748 0.1748 0.5029
O2 O 0.2103 0.2103 0.8078
O3 O 0.2146 0.2146 0.1811
# - total DFT energy (no corrections) (eV per atom) = -6.291
# - total moment (μB per cell) = 1.90
# - ρ (g cm⁻³) = 7.4